[1]
# Al6Ge

Al6Ge after structural relaxation (PBE, Alexandria).

Values from the calculation:
formation energy from the elements = 0.88 eV/atom

CIF file:
```
data_Al6Ge
_cell_length_a 7.2618
_cell_length_b 7.2618
_cell_length_c 7.2618
_cell_angle_alpha 90.00
_cell_angle_beta 90.00
_cell_angle_gamma 90.00
_symmetry_space_group_name_H-M 'I m -3 m'
_symmetry_Int_Tables_number 229
_symmetry_space_group_name_Hall '-I 4 2 3'
loop_
_atom_site_label
_atom_site_type_symbol
_atom_site_fract_x
_atom_site_fract_y
_atom_site_fract_z
Al1 Al 0.0000 0.2500 0.5000
Ge1 Ge 0.0000 0.0000 0.0000
```

---

[2]
# AlGeH

AlGeH after structural relaxation (PBE, Alexandria).

Values from the calculation:
polymorph energy (0 for the lowest one) = 0.27 eV/f.u.

CIF file:
```
data_AlGeH
_cell_length_a 6.7162
_cell_length_b 4.4008
_cell_length_c 6.9211
_cell_angle_alpha 90.00
_cell_angle_beta 90.00
_cell_angle_gamma 90.00
_symmetry_space_group_name_H-M 'P n m a'
_symmetry_Int_Tables_number 62
_symmetry_space_group_name_Hall '-P 2ac 2n'
loop_
_atom_site_label
_atom_site_type_symbol
_atom_site_fract_x
_atom_site_fract_y
_atom_site_fract_z
Al1 Al 0.1326 0.2500 0.0307
Ge1 Ge 0.2485 0.2500 0.3743
H1 H 0.0837 0.2500 0.5353
```

---

[3]
# Al2GeH2

Al2GeH2 after structural relaxation (PBE, Alexandria).

CIF file:
```
data_Al2GeH2
_cell_length_a 3.1488
_cell_length_b 3.1488
_cell_length_c 11.9225
_cell_angle_alpha 90.00
_cell_angle_beta 90.00
_cell_angle_gamma 90.00
_symmetry_space_group_name_H-M 'I 4/m m m'
_symmetry_Int_Tables_number 139
_symmetry_space_group_name_Hall '-I 4 2'
loop_
_atom_site_label
_atom_site_type_symbol
_atom_site_fract_x
_atom_site_fract_y
_atom_site_fract_z
Al1 Al 0.0000 0.0000 0.1482
Ge1 Ge 0.0000 0.0000 0.5000
H1 H 0.0000 0.5000 0.2500
```

---

| no. | E (eV per atom) | total magnetization (μB/cell) |
| --- | --- | --- |
| 1 | -2.990 | 0.000 |
| 2 | -3.718 | 0.000 |
| 3 | -3.531 | 0.000 |